No. 1
CaTmCu4 | PBE | relaxed Values from VASP.

Structure (Quantum ESPRESSO input):
```
&SYSTEM
  ibrav = 0, nat = 6, ntyp = 3
/
ATOMIC_SPECIES
Ca 40.08 Ca.upf
Tm 168.93 Tm.upf
Cu 63.55 Cu.upf
ATOMIC_POSITIONS crystal
Ca 0.000 0.000 0.000
Tm 0.250 0.250 0.250
Cu 0.125 0.625 0.625
Cu 0.625 0.125 0.625
Cu 0.625 0.625 0.125
Cu 0.625 0.625 0.625
CELL_PARAMETERS angstrom
0.000 3.715 3.715
3.715 0.000 3.715
3.715 3.715 0.000
```

Computed properties:
**Crystal system**: cubic
**V**: 17.084 A^3/atom
**Energy above the lowest structure with this stoichiometry**: 0.428 eV/f.u.
**Calculated total energy**: -3.93 eV/atom
**ΔH_f (0 K)**: -11.4 kJ per mole of atoms

---

No. 2
CaTm2Cu6 | PBE | relaxed Values from VASP.

Structure (Quantum ESPRESSO input):
```
&SYSTEM
  ibrav = 0, nat = 9, ntyp = 3
/
ATOMIC_SPECIES
Ca 40.08 Ca.upf
Tm 168.93 Tm.upf
Cu 63.55 Cu.upf
ATOMIC_POSITIONS crystal
Ca 0.000 0.000 0.000
Tm 0.333 0.667 0.000
Tm 0.667 0.333 0.000
Cu 0.000 0.336 0.500
Cu 0.000 0.664 0.500
Cu 0.336 0.000 0.500
Cu 0.336 0.336 0.500
Cu 0.664 0.000 0.500
Cu 0.664 0.664 0.500
CELL_PARAMETERS angstrom
7.299 0.000 0.000
-3.649 6.321 0.000
0.000 0.000 3.584
```

Computed properties:
**Crystal system**: hexagonal
**V**: 18.370 A^3/atom
**Calculated total energy**: -4.15 eV/atom
**ΔH_f (0 K)**: -20.0 kJ per mole of atoms

---

No. 3
CaTmCu4 | PBE | relaxed Values from VASP.

Structure (Quantum ESPRESSO input):
```
&SYSTEM
  ibrav = 0, nat = 6, ntyp = 3
/
ATOMIC_SPECIES
Ca 40.08 Ca.upf
Tm 168.93 Tm.upf
Cu 63.55 Cu.upf
ATOMIC_POSITIONS crystal
Ca 0.000 0.000 0.000
Tm 0.000 0.000 0.500
Cu 0.333 0.667 0.276
Cu 0.333 0.667 0.724
Cu 0.667 0.333 0.276
Cu 0.667 0.333 0.724
CELL_PARAMETERS angstrom
4.219 0.000 0.000
-2.110 3.654 0.000
0.000 0.000 7.388
```

Computed properties:
**Crystal system**: hexagonal
**V**: 18.984 A^3/atom
**Energy above the lowest structure with this stoichiometry**: 0.000 eV/f.u.
**Calculated total energy**: -4.00 eV/atom
**ΔH_f (0 K)**: -18.3 kJ per mole of atoms

---

No. 4
CaTmCu2 | PBE | relaxed Values from VASP.

Structure (Quantum ESPRESSO input):
```
&SYSTEM
  ibrav = 0, nat = 4, ntyp = 3
/
ATOMIC_SPECIES
Ca 40.08 Ca.upf
Tm 168.93 Tm.upf
Cu 63.55 Cu.upf
ATOMIC_POSITIONS crystal
Ca 0.000 0.000 0.000
Tm 0.000 0.000 0.500
Cu 0.500 0.500 0.286
Cu 0.500 0.500 0.714
CELL_PARAMETERS angstrom
3.485 0.000 0.000
0.000 3.485 0.000
0.000 0.000 7.032
```

Computed properties:
**Crystal system**: tetragonal
**V**: 21.356 A^3/atom
**Calculated total energy**: -3.86 eV/atom
**ΔH_f (0 K)**: -18.4 kJ per mole of atoms

---

No. 5
CaTm3Cu4 | PBE | relaxed Values from VASP.

Structure (Quantum ESPRESSO input):
```
&SYSTEM
  ibrav = 0, nat = 8, ntyp = 3
/
ATOMIC_SPECIES
Ca 40.08 Ca.upf
Tm 168.93 Tm.upf
Cu 63.55 Cu.upf
ATOMIC_POSITIONS crystal
Ca 0.000 0.000 0.000
Tm 0.000 0.000 0.500
Tm 0.500 0.500 0.000
Tm 0.500 0.500 0.500
Cu 0.000 0.500 0.264
Cu 0.000 0.500 0.736
Cu 0.500 0.000 0.264
Cu 0.500 0.000 0.736
CELL_PARAMETERS angstrom
4.873 0.000 0.000
0.000 4.873 0.000
0.000 0.000 6.876
```

Computed properties:
**Crystal system**: tetragonal
**V**: 20.412 A^3/atom
**Calculated total energy**: -4.20 eV/atom
**ΔH_f (0 K)**: -21.8 kJ per mole of atoms

---

No. 6
Ca2TmCu9 | PBE | relaxed Values from VASP.

Structure (Quantum ESPRESSO input):
```
&SYSTEM
  ibrav = 0, nat = 12, ntyp = 3
/
ATOMIC_SPECIES
Ca 40.08 Ca.upf
Tm 168.93 Tm.upf
Cu 63.55 Cu.upf
ATOMIC_POSITIONS crystal
Ca 0.141 0.141 0.141
Ca 0.859 0.859 0.859
Tm 0.000 0.000 0.000
Cu 0.082 0.579 0.579
Cu 0.332 0.332 0.332
Cu 0.421 0.421 0.918
Cu 0.421 0.918 0.421
Cu 0.500 0.500 0.500
Cu 0.579 0.082 0.579
Cu 0.579 0.579 0.082
Cu 0.668 0.668 0.668
Cu 0.918 0.421 0.421
CELL_PARAMETERS angstrom
2.567 1.482 8.444
-2.567 1.482 8.444
0.000 -2.964 8.444
```

Computed properties:
**Crystal system**: trigonal
**V**: 16.056 A^3/atom
**Calculated total energy**: -3.92 eV/atom
**ΔH_f (0 K)**: -14.1 kJ per mole of atoms

---

No. 7
CaTm2Cu9 | PBE | relaxed Values from VASP.

Structure (Quantum ESPRESSO input):
```
&SYSTEM
  ibrav = 0, nat = 12, ntyp = 3
/
ATOMIC_SPECIES
Ca 40.08 Ca.upf
Tm 168.93 Tm.upf
Cu 63.55 Cu.upf
ATOMIC_POSITIONS crystal
Ca 0.000 0.000 0.000
Tm 0.141 0.141 0.141
Tm 0.859 0.859 0.859
Cu 0.082 0.584 0.584
Cu 0.333 0.333 0.333
Cu 0.416 0.416 0.918
Cu 0.416 0.918 0.416
Cu 0.500 0.500 0.500
Cu 0.584 0.082 0.584
Cu 0.584 0.584 0.082
Cu 0.667 0.667 0.667
Cu 0.918 0.416 0.416
CELL_PARAMETERS angstrom
2.576 1.487 8.278
-2.576 1.487 8.278
0.000 -2.975 8.278
```

Computed properties:
**Crystal system**: trigonal
**V**: 15.862 A^3/atom
**Calculated total energy**: -4.17 eV/atom
**ΔH_f (0 K)**: -17.8 kJ per mole of atoms

---

No. 8
CaTm4Cu5 | PBE | relaxed Values from VASP.

Structure (Quantum ESPRESSO input):
```
&SYSTEM
  ibrav = 0, nat = 10, ntyp = 3
/
ATOMIC_SPECIES
Ca 40.08 Ca.upf
Tm 168.93 Tm.upf
Cu 63.55 Cu.upf
ATOMIC_POSITIONS crystal
Ca 0.000 0.000 0.000
Tm 0.000 0.000 0.204
Tm 0.000 0.000 0.402
Tm 0.000 0.000 0.598
Tm 0.000 0.000 0.796
Cu 0.500 0.500 0.114
Cu 0.500 0.500 0.302
Cu 0.500 0.500 0.500
Cu 0.500 0.500 0.698
Cu 0.500 0.500 0.886
CELL_PARAMETERS angstrom
3.424 0.000 0.000
0.000 3.424 0.000
0.000 0.000 17.436
```

Computed properties:
**Crystal system**: tetragonal
**V**: 20.439 A^3/atom
**Calculated total energy**: -4.29 eV/atom
**ΔH_f (0 K)**: -24.1 kJ per mole of atoms

---

No. 9
CaTmCu10 | PBE | relaxed Values from VASP.

Structure (Quantum ESPRESSO input):
```
&SYSTEM
  ibrav = 0, nat = 12, ntyp = 3
/
ATOMIC_SPECIES
Ca 40.08 Ca.upf
Tm 168.93 Tm.upf
Cu 63.55 Cu.upf
ATOMIC_POSITIONS crystal
Ca 0.000 0.000 0.000
Tm 0.000 0.500 0.500
Cu 0.000 0.000 0.336
Cu 0.000 0.000 0.664
Cu 0.000 0.500 0.170
Cu 0.000 0.500 0.830
Cu 0.500 0.000 0.500
Cu 0.500 0.255 0.257
Cu 0.500 0.255 0.743
Cu 0.500 0.500 0.000
Cu 0.500 0.745 0.257
Cu 0.500 0.745 0.743
CELL_PARAMETERS angstrom
4.044 0.000 0.000
0.000 5.094 0.000
0.000 0.000 8.742
```

Computed properties:
**Crystal system**: orthorhombic
**V**: 15.008 A^3/atom
**Calculated total energy**: -4.11 eV/atom
**ΔH_f (0 K)**: -15.2 kJ per mole of atoms

---

No. 10
CaUCu10 | PBE | relaxed Values from VASP.

Structure (Quantum ESPRESSO input):
```
&SYSTEM
  ibrav = 0, nat = 12, ntyp = 3
/
ATOMIC_SPECIES
Ca 40.08 Ca.upf
U 238.03 U.upf
Cu 63.55 Cu.upf
ATOMIC_POSITIONS crystal
Ca 0.000 0.000 0.000
U 0.000 0.500 0.500
Cu 0.000 0.000 0.335
Cu 0.000 0.000 0.665
Cu 0.000 0.500 0.167
Cu 0.000 0.500 0.833
Cu 0.500 0.000 0.500
Cu 0.500 0.254 0.256
Cu 0.500 0.254 0.744
Cu 0.500 0.500 0.000
Cu 0.500 0.746 0.256
Cu 0.500 0.746 0.744
CELL_PARAMETERS angstrom
4.068 0.000 0.000
0.000 5.108 0.000
0.000 0.000 8.746
```

Computed properties:
**Crystal system**: orthorhombic
**V**: 15.147 A^3/atom
**Calculated total energy**: -4.52 eV/atom
**ΔH_f (0 K)**: 0.4 kJ per mole of atoms

---

No. 11
Ca2VCu | PBE | relaxed Values from VASP.

Structure (Quantum ESPRESSO input):
```
&SYSTEM
  ibrav = 0, nat = 16, ntyp = 3
/
ATOMIC_SPECIES
Ca 40.08 Ca.upf
V 50.94 V.upf
Cu 63.55 Cu.upf
ATOMIC_POSITIONS crystal
Ca 0.208 0.250 0.125
Ca 0.250 0.708 0.375
Ca 0.250 0.792 0.875
Ca 0.292 0.250 0.625
Ca 0.708 0.750 0.625
Ca 0.750 0.208 0.875
Ca 0.750 0.292 0.375
Ca 0.792 0.750 0.125
V 0.000 0.000 0.500
V 0.000 0.500 0.750
V 0.500 0.000 0.250
V 0.500 0.500 0.000
Cu 0.000 0.000 0.000
Cu 0.000 0.500 0.250
Cu 0.500 0.000 0.750
Cu 0.500 0.500 0.500
CELL_PARAMETERS angstrom
8.167 0.000 0.000
0.000 8.167 0.000
0.000 0.000 6.182
```

Computed properties:
**Crystal system**: tetragonal
**V**: 25.769 A^3/atom
**Energy above the lowest structure with this stoichiometry**: 0.731 eV/f.u.
**Calculated total energy**: -3.66 eV/atom
**ΔH_f (0 K)**: 61.8 kJ per mole of atoms

---

No. 12
CaV2Cu | PBE | relaxed Values from VASP.

Structure (Quantum ESPRESSO input):
```
&SYSTEM
  ibrav = 0, nat = 16, ntyp = 3
/
ATOMIC_SPECIES
Ca 40.08 Ca.upf
V 50.94 V.upf
Cu 63.55 Cu.upf
ATOMIC_POSITIONS crystal
Ca 0.000 0.000 0.000
Ca 0.000 0.500 0.500
Ca 0.500 0.000 0.500
Ca 0.500 0.500 0.000
V 0.250 0.250 0.250
V 0.250 0.250 0.750
V 0.250 0.750 0.250
V 0.250 0.750 0.750
V 0.750 0.250 0.250
V 0.750 0.250 0.750
V 0.750 0.750 0.250
V 0.750 0.750 0.750
Cu 0.000 0.000 0.500
Cu 0.000 0.500 0.000
Cu 0.500 0.000 0.000
Cu 0.500 0.500 0.500
CELL_PARAMETERS angstrom
6.387 0.000 0.000
0.000 6.387 0.000
0.000 0.000 6.387
```

Computed properties:
**Crystal system**: cubic
**V**: 16.287 A^3/atom
**Energy above the lowest structure with this stoichiometry**: 0.674 eV/f.u.
**Calculated total energy**: -5.12 eV/atom
**ΔH_f (0 K)**: 93.0 kJ per mole of atoms

---

No. 13
CaV3Cu | PBE | relaxed Values from VASP.

Structure (Quantum ESPRESSO input):
```
&SYSTEM
  ibrav = 0, nat = 5, ntyp = 3
/
ATOMIC_SPECIES
Ca 40.08 Ca.upf
V 50.94 V.upf
Cu 63.55 Cu.upf
ATOMIC_POSITIONS crystal
Ca 0.000 0.000 0.000
V 0.000 0.500 0.500
V 0.500 0.000 0.500
V 0.500 0.500 0.000
Cu 0.500 0.500 0.500
CELL_PARAMETERS angstrom
4.735 0.000 0.000
0.000 4.735 0.000
0.000 0.000 4.735
```

Computed properties:
**Crystal system**: cubic
**V**: 21.236 A^3/atom
**Energy above the lowest structure with this stoichiometry**: 0.000 eV/f.u.
**Calculated total energy**: -5.60 eV/atom
**ΔH_f (0 K)**: 105.3 kJ per mole of atoms

---

No. 14
CaVCu3 | PBE | relaxed Values from VASP.

Structure (Quantum ESPRESSO input):
```
&SYSTEM
  ibrav = 0, nat = 5, ntyp = 3
/
ATOMIC_SPECIES
Ca 40.08 Ca.upf
V 50.94 V.upf
Cu 63.55 Cu.upf
ATOMIC_POSITIONS crystal
Ca 0.000 0.000 0.000
V 0.500 0.500 0.500
Cu 0.000 0.500 0.500
Cu 0.500 0.000 0.500
Cu 0.500 0.500 0.000
CELL_PARAMETERS angstrom
4.665 0.000 0.000
0.000 4.665 0.000
0.000 0.000 4.665
```

Computed properties:
**Crystal system**: cubic
**V**: 20.299 A^3/atom
**Energy above the lowest structure with this stoichiometry**: 0.000 eV/f.u.
**Calculated total energy**: -4.07 eV/atom
**ΔH_f (0 K)**: 59.3 kJ per mole of atoms

---

No. 15
CaV2Cu | PBE | relaxed Values from VASP.

Structure (Quantum ESPRESSO input):
```
&SYSTEM
  ibrav = 0, nat = 16, ntyp = 3
/
ATOMIC_SPECIES
Ca 40.08 Ca.upf
V 50.94 V.upf
Cu 63.55 Cu.upf
ATOMIC_POSITIONS crystal
Ca 0.000 0.000 0.000
Ca 0.000 0.500 0.250
Ca 0.500 0.000 0.750
Ca 0.500 0.500 0.500
V 0.017 0.750 0.625
V 0.250 0.017 0.375
V 0.250 0.483 0.875
V 0.483 0.750 0.125
V 0.517 0.250 0.125
V 0.750 0.517 0.875
V 0.750 0.983 0.375
V 0.983 0.250 0.625
Cu 0.000 0.000 0.500
Cu 0.000 0.500 0.750
Cu 0.500 0.000 0.250
Cu 0.500 0.500 0.000
CELL_PARAMETERS angstrom
4.162 0.000 0.000
0.000 4.162 0.000
0.000 0.000 19.225
```

Computed properties:
**Crystal system**: tetragonal
**V**: 20.816 A^3/atom
**Energy above the lowest structure with this stoichiometry**: 0.000 eV/f.u.
**Calculated total energy**: -5.29 eV/atom
**ΔH_f (0 K)**: 76.8 kJ per mole of atoms

---

No. 16
CaV2Cu2 | PBE | relaxed Values from VASP.

Structure (Quantum ESPRESSO input):
```
&SYSTEM
  ibrav = 0, nat = 10, ntyp = 3
/
ATOMIC_SPECIES
Ca 40.08 Ca.upf
V 50.94 V.upf
Cu 63.55 Cu.upf
ATOMIC_POSITIONS crystal
Ca 0.000 0.000 0.000
Ca 0.500 0.500 0.000
V 0.103 0.397 0.000
V 0.397 0.897 0.000
V 0.603 0.103 0.000
V 0.897 0.603 0.000
Cu 0.188 0.688 0.500
Cu 0.312 0.188 0.500
Cu 0.688 0.812 0.500
Cu 0.812 0.312 0.500
CELL_PARAMETERS angstrom
7.629 0.000 0.000
0.000 7.629 0.000
0.000 0.000 2.747
```

Computed properties:
**Crystal system**: tetragonal
**V**: 15.983 A^3/atom
**Calculated total energy**: -5.36 eV/atom
**ΔH_f (0 K)**: 31.7 kJ per mole of atoms

---

No. 17
CaV3Cu | PBE | relaxed Values from VASP.

Structure (Quantum ESPRESSO input):
```
&SYSTEM
  ibrav = 0, nat = 5, ntyp = 3
/
ATOMIC_SPECIES
Ca 40.08 Ca.upf
V 50.94 V.upf
Cu 63.55 Cu.upf
ATOMIC_POSITIONS crystal
Ca 0.000 0.000 0.000
V 0.000 0.000 0.500
V 0.000 0.500 0.000
V 0.500 0.000 0.000
Cu 0.500 0.500 0.500
CELL_PARAMETERS angstrom
4.316 0.000 0.000
0.000 4.316 0.000
0.000 0.000 4.316
```

Computed properties:
**Crystal system**: cubic
**V**: 16.084 A^3/atom
**Energy above the lowest structure with this stoichiometry**: 6.036 eV/f.u.
**Calculated total energy**: -4.39 eV/atom
**ΔH_f (0 K)**: 221.8 kJ per mole of atoms

---

No. 18
Ca2VCu | PBE | relaxed Values from VASP.

Structure (Quantum ESPRESSO input):
```
&SYSTEM
  ibrav = 0, nat = 16, ntyp = 3
/
ATOMIC_SPECIES
Ca 40.08 Ca.upf
V 50.94 V.upf
Cu 63.55 Cu.upf
ATOMIC_POSITIONS crystal
Ca 0.250 0.250 0.250
Ca 0.250 0.250 0.750
Ca 0.250 0.750 0.250
Ca 0.250 0.750 0.750
Ca 0.750 0.250 0.250
Ca 0.750 0.250 0.750
Ca 0.750 0.750 0.250
Ca 0.750 0.750 0.750
V 0.000 0.000 0.000
V 0.000 0.500 0.500
V 0.500 0.000 0.500
V 0.500 0.500 0.000
Cu 0.000 0.000 0.500
Cu 0.000 0.500 0.000
Cu 0.500 0.000 0.000
Cu 0.500 0.500 0.500
CELL_PARAMETERS angstrom
7.334 0.000 0.000
0.000 7.334 0.000
0.000 0.000 7.334
```

Computed properties:
**Crystal system**: cubic
**V**: 24.658 A^3/atom
**Energy above the lowest structure with this stoichiometry**: 0.000 eV/f.u.
**Calculated total energy**: -3.85 eV/atom
**ΔH_f (0 K)**: 44.2 kJ per mole of atoms

---

No. 19
Ca2YVCu | PBE | relaxed Values from VASP.

Structure (Quantum ESPRESSO input):
```
&SYSTEM
  ibrav = 0, nat = 5, ntyp = 4
/
ATOMIC_SPECIES
Ca 40.08 Ca.upf
Y 88.91 Y.upf
V 50.94 V.upf
Cu 63.55 Cu.upf
ATOMIC_POSITIONS crystal
Ca 0.000 0.500 0.000
Ca 0.500 0.000 0.000
Y 0.000 0.000 0.500
V 0.500 0.500 0.500
Cu 0.500 0.500 0.000
CELL_PARAMETERS angstrom
5.455 0.000 0.000
0.000 5.455 0.000
0.000 0.000 4.757
```

Computed properties:
**Crystal system**: tetragonal
**V**: 28.309 A^3/atom
**Calculated total energy**: -4.10 eV/atom
**ΔH_f (0 K)**: 61.5 kJ per mole of atoms

---

No. 20
Ca2CuW | PBE | relaxed Values from VASP.

Structure (Quantum ESPRESSO input):
```
&SYSTEM
  ibrav = 0, nat = 4, ntyp = 3
/
ATOMIC_SPECIES
Ca 40.08 Ca.upf
Cu 63.55 Cu.upf
W 183.84 W.upf
ATOMIC_POSITIONS crystal
Ca 0.000 0.000 0.236
Ca 0.000 0.000 0.764
Cu 0.500 0.500 0.000
W 0.500 0.500 0.500
CELL_PARAMETERS angstrom
3.057 0.000 0.000
0.000 3.057 0.000
0.000 0.000 9.010
```

Computed properties:
**Crystal system**: tetragonal
**V**: 21.050 A^3/atom
**Energy above the lowest structure with this stoichiometry**: 0.226 eV/f.u.
**Calculated total energy**: -4.65 eV/atom
**ΔH_f (0 K)**: 58.7 kJ per mole of atoms